Computed, not measured: a geometry-optimized Au3C4 structure at the PBEsol level of DFT.

energy relative to the elements = 1796 meV/atom
space group = I4/mmm

Lattice parameters (Å, degrees): 11.9326 11.9326 11.9326 167.63 167.63 17.53
With the nearest neighbours (Å) after each atom.
Fractional positions:
Au 0.0000 0.0000 0.0000  2 C 2.15
Au 0.3011 0.3011 0.0000  1 C 2.18
Au 0.6989 0.6989 0.0000  1 C 2.18
C 0.0912 0.0912 0.0000  4 C 1.85
C 0.3935 0.3935 0.0000  4 C 1.85
C 0.6065 0.6065 0.0000  4 C 1.85
C 0.9088 0.9088 0.0000  4 C 1.85

=====

Computed, not measured: a geometry-optimized AuC3 structure at the PBEsol level of DFT.

energy relative to the elements = 3424 meV/atom
polymorph energy (0 for the lowest one) = 1308 meV per atom
space group = Pm-3n

Lattice parameters (Å, degrees): 4.3003 4.3003 4.3003 90.00 90.00 90.00
With the nearest neighbours (Å) after each atom.
Fractional positions:
Au 0.0000 0.0000 0.0000  12 C 2.40
Au 0.5000 0.5000 0.5000  12 C 2.40
C 0.0000 0.2500 0.5000  2 C 2.15, 4 Au 2.40
C 0.0000 0.7500 0.5000  2 C 2.15, 4 Au 2.40
C 0.2500 0.5000 0.0000  2 C 2.15, 4 Au 2.40
C 0.5000 0.0000 0.2500  2 C 2.15, 4 Au 2.40
C 0.5000 0.0000 0.7500  2 C 2.15, 4 Au 2.40
C 0.7500 0.5000 0.0000  2 C 2.15, 4 Au 2.40

=====

Computed, not measured: a geometry-optimized Au2C structure at the PBEsol level of DFT.

energy relative to the elements = 1265 meV/atom
polymorph energy (0 for the lowest one) = 0 meV per atom
space group = C2/m

Lattice parameters (Å, degrees): 5.3744 5.3744 7.6810 129.39 129.39 32.55
With the nearest neighbours (Å) after each atom.
Fractional positions:
Au 0.0967 0.0967 0.3227  2 C 2.13
Au 0.2319 0.2319 0.7859  3 C 2.15-2.26
Au 0.7681 0.7681 0.2141  3 C 2.15-2.26
Au 0.9033 0.9033 0.6773  2 C 2.13
C 0.4018 0.4018 0.1588  5 Au 2.13-2.26
C 0.5982 0.5982 0.8412  5 Au 2.13-2.26

=====

Computed, not measured: a geometry-optimized Au2C structure at the PBEsol level of DFT.

energy relative to the elements = 1573 meV/atom
polymorph energy (0 for the lowest one) = 308 meV per atom
space group = Imma

Lattice parameters (Å, degrees): 10.6085 10.6085 10.6085 164.22 163.93 22.59
With the nearest neighbours (Å) after each atom.
Fractional positions:
Au 0.3049 0.0549 0.2500  7 Au 2.72-2.96, 4 C 2.90
Au 0.4383 0.1883 0.2500  4 C 2.21
Au 0.5617 0.8117 0.7500  4 C 2.21
Au 0.6951 0.9451 0.7500  7 Au 2.72-2.96, 4 C 2.90
C 0.0977 0.3477 0.7500  4 Au 2.21
C 0.9023 0.6523 0.2500  4 Au 2.21

=====

Computed, not measured: a geometry-optimized CaAu2CCl structure at the PBEsol level of DFT.

E_form (uncorrected) = -6.1 kcal/mol of atoms
space group = P4/mmm

Lattice parameters (Å, degrees): 4.1315 4.1315 5.5611 90.00 90.00 90.00
With the nearest neighbours (Å) after each atom.
Fractional positions:
Ca 0.0000 0.0000 0.0000  2 C 2.78, 4 Cl 2.92
Au 0.0000 0.5000 0.5000  2 C 2.07
Au 0.5000 0.0000 0.5000  2 C 2.07
C 0.0000 0.0000 0.5000  4 Au 2.07
Cl 0.5000 0.5000 0.0000  4 Ca 2.92

=====

Computed, not measured: a geometry-optimized AuCCl2 structure at the PBEsol level of DFT.

E_form (uncorrected) = 29.5 kcal/mol of atoms
space group = R-3m

Lattice parameters (Å, degrees): 9.1959 9.1959 9.1959 18.89 18.89 18.89
With the nearest neighbours (Å) after each atom.
Fractional positions:
Au 0.0000 0.0000 0.0000  6 Au 3.02, 2 Cl 3.15
C 0.5000 0.5000 0.5000  6 Cl 2.22
Cl 0.1162 0.1162 0.1162  3 C 2.22
Cl 0.8838 0.8838 0.8838  3 C 2.22

=====

Computed, not measured: a geometry-optimized AuC3Cl structure at the PBEsol level of DFT.

E_form (uncorrected) = 77.4 kcal/mol of atoms
space group = Pm-3m

Lattice parameters (Å, degrees): 3.7735 3.7735 3.7735 90.00 90.00 90.00
With the nearest neighbours (Å) after each atom.
Fractional positions:
Au 0.0000 0.0000 0.0000  12 C 2.67
C 0.0000 0.5000 0.5000  2 Cl 1.89
C 0.5000 0.0000 0.5000  2 Cl 1.89
C 0.5000 0.5000 0.0000  2 Cl 1.89
Cl 0.5000 0.5000 0.5000  6 C 1.89

=====

Computed, not measured: a geometry-optimized H8AuC2S2N4Cl structure at the PBEsol level of DFT.

VASP energy = -5.577 eV/atom
space group = C2/c

Lattice parameters (Å, degrees): 9.2004 9.2004 6.4557 95.44 95.44 123.69
With the nearest neighbours (Å) after each atom.
Fractional positions:
H 0.0218 0.1912 0.0423  1 N 1.04
H 0.0234 0.5546 0.2616  1 N 1.03
H 0.0998 0.6519 0.9122  1 N 1.03
H 0.1912 0.0218 0.5423  1 N 1.04
H 0.2012 0.2372 0.2349  1 N 1.02
H 0.2372 0.2012 0.7349  1 N 1.02
H 0.3481 0.9002 0.5878  1 N 1.03
H 0.4454 0.9766 0.2384  1 N 1.03
H 0.5546 0.0234 0.7616  1 N 1.03
H 0.6519 0.0998 0.4122  1 N 1.03
H 0.7628 0.7988 0.2651  1 N 1.02
H 0.7988 0.7628 0.7651  1 N 1.02
H 0.8088 0.9782 0.4577  1 N 1.04
H 0.9002 0.3481 0.0878  1 N 1.03
H 0.9766 0.4454 0.7384  1 N 1.03
H 0.9782 0.8088 0.9577  1 N 1.04
Au 0.5000 0.5000 0.0000  2 S 2.28
Au 0.5000 0.5000 0.5000  2 S 2.28
C 0.1201 0.4015 0.2812  2 N 1.33
C 0.4015 0.1201 0.7812  2 N 1.33
C 0.5985 0.8799 0.2188  2 N 1.33
C 0.8799 0.5985 0.7188  2 N 1.33
S 0.2799 0.5455 0.4974  1 C 1.72
S 0.4545 0.7201 0.0026  1 C 1.72
S 0.5455 0.2799 0.9974  1 C 1.72
S 0.7201 0.4545 0.5026  1 C 1.72
N 0.0004 0.4326 0.2132  2 H 1.03
N 0.9996 0.5674 0.7868  2 H 1.03
N 0.1071 0.2589 0.1862  2 H 1.02-1.04
N 0.2589 0.1071 0.6862  2 H 1.02-1.04
N 0.4326 0.0004 0.7132  2 H 1.03
N 0.5674 0.9996 0.2868  2 H 1.03
N 0.7411 0.8929 0.3138  2 H 1.02-1.04
N 0.8929 0.7411 0.8138  2 H 1.02-1.04
Cl 0.1451 0.8549 0.2500  4 H 2.16-2.35
Cl 0.8549 0.1451 0.7500  4 H 2.16-2.35

=====

Computed, not measured: a geometry-optimized P2AuCCl structure at the PBEsol level of DFT.

E_form (uncorrected) = 27.7 kcal/mol of atoms
polymorph energy (0 for the lowest one) = 0 meV per atom
space group = P4/mmm

Lattice parameters (Å, degrees): 4.1403 4.1403 4.1323 90.00 90.00 90.00
With the nearest neighbours (Å) after each atom.
Fractional positions:
P 0.0000 0.5000 0.0000  2 C 2.07
P 0.5000 0.0000 0.0000  2 C 2.07
Au 0.0000 0.0000 0.5000  8 P 2.92, 4 Cl 2.93
C 0.5000 0.5000 0.0000  2 Cl 2.07, 4 P 2.07
Cl 0.5000 0.5000 0.5000  2 C 2.07

=====

Computed, not measured: a geometry-optimized P2AuCCl structure at the PBEsol level of DFT.

E_form (uncorrected) = 50.6 kcal/mol of atoms
polymorph energy (0 for the lowest one) = 992 meV per atom
space group = P4/mmm

Lattice parameters (Å, degrees): 4.7464 4.7464 4.8739 90.00 90.00 90.00
With the nearest neighbours (Å) after each atom.
Fractional positions:
P 0.0000 0.5000 0.0000  2 Au 2.37
P 0.5000 0.0000 0.0000  2 Au 2.37
Au 0.0000 0.0000 0.0000  4 P 2.37, 2 Cl 2.44
C 0.5000 0.5000 0.5000  4 Cl 3.36, 8 P 3.40
Cl 0.0000 0.0000 0.5000  2 Au 2.44

=====

Computed, not measured: a geometry-optimized AuCSCl2 structure at the PBEsol level of DFT.

E_form (uncorrected) = 38.9 kcal/mol of atoms
space group = P4/mmm

Lattice parameters (Å, degrees): 4.7957 4.7957 4.8700 90.00 90.00 90.00
With the nearest neighbours (Å) after each atom.
Fractional positions:
Au 0.0000 0.0000 0.0000  4 Cl 2.40, 2 S 2.44
C 0.5000 0.5000 0.5000  4 S 3.39, 8 Cl 3.42
S 0.0000 0.0000 0.5000  2 Au 2.44
Cl 0.0000 0.5000 0.0000  2 Au 2.40
Cl 0.5000 0.0000 0.0000  2 Au 2.40

=====

Computed, not measured: a geometry-optimized CoAu3C structure at the PBEsol level of DFT.

energy relative to the elements = 960 meV/atom
space group = Pm-3m

Lattice parameters (Å, degrees): 4.2107 4.2107 4.2107 90.00 90.00 90.00
With the nearest neighbours (Å) after each atom.
Fractional positions:
Co 0.0000 0.0000 0.0000  12 Au 2.98
Au 0.0000 0.5000 0.5000  2 C 2.11
Au 0.5000 0.0000 0.5000  2 C 2.11
Au 0.5000 0.5000 0.0000  2 C 2.11
C 0.5000 0.5000 0.5000  6 Au 2.11

=====

The calculation returns the following total moment values, one per record and in order: 0.00 0.00 0.00 0.00 0.00 0.00 0.00 0.00 0.00 0.54 0.65 1.90 μB per formula unit.